# 1
This record from Alexandria via LeMat-Bulk describes BaEuCdRh after structural relaxation. The functional is PBE.

a b c (Å): 5.452 5.452 5.452
angles (deg): 60.00 60.00 60.00
Fractional coordinates of all 4 atoms:
Eu 0.250 0.250 0.250
Rh 0.500 0.500 0.500
Ba 0.750 0.750 0.750
Cd 0.000 0.000 0.000

Properties
E: -21.12 eV for the cell shown
Formation energy: -0.164 eV/atom

=====

# 2
This record from Alexandria via LeMat-Bulk describes LaSnHg2Pb after structural relaxation. The functional is PBE.

a b c (Å): 5.414 6.202 5.414
angles (deg): 90.00 90.00 90.00
Fractional coordinates of all 5 atoms:
Pb 0.500 0.500 0.500
Hg 0.000 0.000 0.500
Hg 0.500 0.000 0.000
Sn 0.000 0.000 0.000
La 0.000 0.500 0.000

Properties
E: -12.57 eV for the cell shown
Formation energy: 0.134 eV/atom

=====

# 3
This record from Alexandria via LeMat-Bulk describes Sr2WBr after structural relaxation. The functional is PBE.

a b c (Å): 5.545 5.545 5.545
angles (deg): 60.00 60.00 60.00
Fractional coordinates of all 4 atoms:
Sr 0.000 0.000 0.000
Sr 0.250 0.250 0.250
Br 0.500 0.500 0.500
W 0.750 0.750 0.750

Properties
Energy above the most stable polymorph in this dataset: 764 meV/atom
ΔE_f (raw): 3.75 eV/f.u.
E: -14.24 eV for the cell shown

=====

# 4
This record from Alexandria via LeMat-Bulk describes MgCuTe2 after structural relaxation. The functional is PBE.

a b c (Å): 7.018 7.018 7.018
angles (deg): 148.58 147.54 45.80
Fractional coordinates of all 4 atoms:
Cu 0.540 0.540 0.000
Mg 0.294 0.794 0.500
Te 0.966 0.966 0.000
Te 0.700 0.200 0.500

Properties
Energy above the most stable polymorph in this dataset: 195 meV/atom
ΔE_f (raw): -0.60 eV/f.u.
E: -12.58 eV for the cell shown

=====

# 5
This record from Alexandria via LeMat-Bulk describes PuGa4Ag after structural relaxation. The functional is PBE.

a b c (Å): 4.869 4.870 10.326
angles (deg): 103.62 103.62 89.97
Fractional coordinates of all 12 atoms:
Pu 0.750 0.750 0.000
Pu 0.250 0.250 0.000
Ga 0.648 0.149 0.797
Ga 0.851 0.351 0.203
Ga 0.352 0.851 0.203
Ga 0.149 0.649 0.797
Ga 0.077 0.078 0.655
Ga 0.422 0.422 0.345
Ga 0.923 0.922 0.345
Ga 0.578 0.578 0.655
Ag 0.500 0.000 0.500
Ag 0.000 0.500 0.500

Properties
Energy above the most stable polymorph in this dataset: 0 meV/atom
E: -60.23 eV for the cell shown
Formation energy: -0.137 eV/atom

=====

# 6
This record from Alexandria via LeMat-Bulk describes Mn2GaBSe after structural relaxation. The functional is PBE.

a b c (Å): 2.791 2.716 17.486
angles (deg): 90.00 90.00 90.00
Fractional coordinates of all 10 atoms:
B 0.000 0.000 0.668
B 0.000 0.500 0.168
Mn 0.500 0.000 0.097
Mn 0.500 0.500 0.597
Mn 0.500 0.000 0.230
Mn 0.500 0.500 0.730
Ga 0.000 0.000 0.821
Ga 0.000 0.500 0.321
Se 0.000 0.000 0.974
Se 0.000 0.500 0.474

Properties
Energy above the most stable polymorph in this dataset: 159 meV/atom
ΔE_f (raw): 0.12 eV/f.u.
E: -62.82 eV for the cell shown